VASP calculation (PBE-GGA) on crystalline Ac2LaAl2 at its relaxed geometry.

Results
* ρ: 6.43 g/cm³
* N(E_F): 1.44 states/eV/atom
* DFT formation energy: -1.1 eV/f.u.

Structure (POSCAR):
```
Ac2LaAl2
1.0
4.617 0.000 2.070
1.582 5.584 2.657
-0.087 -0.170 6.380
Ac Al La
2 2 1
Direct
0.201 0.299 0.299 Ac
0.799 0.701 0.701 Ac
0.500 0.696 0.304 Al
0.500 0.304 0.696 Al
0.000 0.000 0.000 La
```

---

VASP calculation (PBE-GGA) on crystalline Cs2Np3PdS8 at its relaxed geometry.

Results
* ρ: 4.93 g/cm³
* N(E_F): 1.93 states/eV/atom
* formation energy without anion corrections: -1.13 eV/atom

Structure (POSCAR):
```
Cs2Np3PdS8
1.0
-7.125 -1.580 -2.668
-0.931 -2.719 -7.220
-2.000 -9.512 -0.341
S Pd Np Cs
8 1 3 2
Direct
0.713 0.713 0.860 S
0.765 0.765 0.202 S
0.765 0.268 0.202 S
0.706 0.213 0.868 S
0.213 0.213 0.868 S
0.213 0.706 0.868 S
0.268 0.765 0.202 S
0.267 0.267 0.198 S
0.986 0.986 0.041 Pd
0.490 0.986 0.034 Np
0.490 0.490 0.034 Np
0.986 0.490 0.034 Np
0.490 0.490 0.531 Cs
0.140 0.140 0.581 Cs
```

---

VASP calculation (PBE-GGA) on crystalline KAgIO2 at its relaxed geometry.

Results
* ρ: 3.13 g/cm³
* N(E_F): 1.04 states/eV/atom
* formation energy without anion corrections: 0.49 eV/atom

Structure (POSCAR):
```
KAgIO2
1.0
4.679 0.000 0.000
0.000 4.679 0.000
0.000 0.000 7.417
K I O Ag
1 1 2 1
Direct
0.000 0.000 0.000 K
0.000 0.000 0.500 I
0.500 0.000 0.000 O
0.000 0.500 0.000 O
0.500 0.500 0.500 Ag
```

---

Which formula does entry 1 have?
Ac2LaAl2

---

ρ of number 2 (Cs2Np3PdS8)?
4.93 g/cm³

---

Which value of ρ does entry 3 give?
3.13 g/cm³